Computed, not measured: a relaxed structure of Li8Zn4O11 at the PBE level of DFT.

```
data_Li8Zn4O11
_cell_length_a 10.100
_cell_length_b 5.023
_cell_length_c 5.011
_cell_angle_alpha 100.09
_cell_angle_beta 98.69
_cell_angle_gamma 119.92
_space_group_name_H-M_alt 'P 1'
_space_group_IT_number 1
loop_
_space_group_symop_operation_xyz
'x,y,z'
loop_
_atom_site_label
_atom_site_fract_x
_atom_site_fract_y
_atom_site_fract_z
Li1 0.748 0.496 0.002
Li2 0.663 0.659 0.490
Li3 0.832 0.325 0.498
Li4 0.503 0.001 0.503
Li5 0.985 0.966 0.514
Li6 0.174 0.711 0.517
Li7 0.353 0.359 0.517
Li8 0.259 0.522 0.972
O1 0.458 0.583 0.231
O2 0.282 0.942 0.240
O3 0.617 0.229 0.244
O4 0.975 0.575 0.247
O5 0.805 0.933 0.250
O6 0.370 0.764 0.732
O7 0.700 0.062 0.751
O8 0.040 0.387 0.756
O9 0.542 0.431 0.766
O10 0.202 0.089 0.771
O11 0.888 0.758 0.783
Zn1 0.585 0.838 0.002
Zn2 0.907 0.155 0.986
Zn3 0.081 0.812 0.988
Zn4 0.416 0.167 0.997
```

Calculated values
Offset from the most stable computed form in meV per atom: 7.2

=====

Computed, not measured: a relaxed structure of BeAlSnIr at the PBE level of DFT.

```
data_BeAlSnIr
_cell_length_a 4.437
_cell_length_b 4.437
_cell_length_c 4.437
_cell_angle_alpha 60.00
_cell_angle_beta 60.00
_cell_angle_gamma 60.00
_space_group_name_H-M_alt 'P 1'
_space_group_IT_number 1
loop_
_space_group_symop_operation_xyz
'x,y,z'
loop_
_atom_site_label
_atom_site_fract_x
_atom_site_fract_y
_atom_site_fract_z
Al1 0.000 0.000 0.000
Be1 0.750 0.750 0.750
Ir1 0.250 0.250 0.250
Sn1 0.500 0.500 0.500
```

Calculated values
Offset from the most stable computed form in meV per atom: 0.0
Total moment in μB/f.u.: 0.00

=====

Computed, not measured: a relaxed structure of RbMgTaPd at the PBE level of DFT.

```
data_RbMgTaPd
_cell_length_a 5.068
_cell_length_b 5.068
_cell_length_c 5.068
_cell_angle_alpha 60.00
_cell_angle_beta 60.00
_cell_angle_gamma 60.00
_space_group_name_H-M_alt 'P 1'
_space_group_IT_number 1
loop_
_space_group_symop_operation_xyz
'x,y,z'
loop_
_atom_site_label
_atom_site_fract_x
_atom_site_fract_y
_atom_site_fract_z
Mg1 0.750 0.750 0.750
Pd1 0.250 0.250 0.250
Rb1 0.500 0.500 0.500
Ta1 0.000 0.000 0.000
```

Calculated values
Offset from the most stable computed form in meV per atom: 145.3
Total moment in μB/f.u.: 0.02

=====

Computed, not measured: a relaxed structure of Tm4InPbN2 at the PBE level of DFT.

```
data_Tm4InPbN2
_cell_length_a 3.477
_cell_length_b 3.477
_cell_length_c 15.421
_cell_angle_alpha 90.00
_cell_angle_beta 90.00
_cell_angle_gamma 120.00
_space_group_name_H-M_alt 'P 1'
_space_group_IT_number 1
loop_
_space_group_symop_operation_xyz
'x,y,z'
loop_
_atom_site_label
_atom_site_fract_x
_atom_site_fract_y
_atom_site_fract_z
In1 0.000 0.000 0.000
N1 0.667 0.333 0.251
N2 0.667 0.333 0.749
Pb1 0.333 0.667 0.500
Tm1 0.333 0.667 0.166
Tm2 0.000 0.000 0.333
Tm3 0.000 0.000 0.667
Tm4 0.333 0.667 0.834
```

Calculated values
Total moment in μB/f.u.: 0.00

=====

Number 1: ρ 3.93 g cm⁻³, final energy -4.5449 eV/atom. Number 2: ρ 9.33 g cm⁻³, final energy -4.9849 eV/atom. Number 3: ρ 7.17 g cm⁻³, final energy -3.7821 eV/atom. Number 4: ρ 10.55 g cm⁻³, final energy -6.2221 eV/atom.